Entry 1:
# Ac2GaSi, optimized geometry, DFT GGA-PBE
data_Ac2GaSi
_chemical_formula_sum 'Ac2 Ga1 Si1'
_symmetry_space_group_name_H-M 'P 1'
_symmetry_Int_Tables_number 1
_cell_length_a 4.1551
_cell_length_b 5.3023
_cell_length_c 5.3023
_cell_angle_alpha 90.00
_cell_angle_beta 90.00
_cell_angle_gamma 90.00
loop_
_symmetry_equiv_pos_as_xyz
'x,y,z'
loop_
_atom_site_label
_atom_site_fract_x
_atom_site_fract_y
_atom_site_fract_z
Si1 0.5000 0.0000 0.0000
Ga1 0.5000 0.5000 0.5000
Ac1 0.0000 0.0000 0.5000
Ac2 0.0000 0.5000 0.0000
# Size of the total moment, μB per cell: 0.00
# Space-group type: P4/mmm
# Fermi-level density of states, states/eV/atom: 0.597
# ΔE_f (raw), eV per atom: -0.390

***

Entry 2:
# AcGaSi3, optimized geometry, DFT GGA-PBE
data_AcGaSi3
_chemical_formula_sum 'Ac2 Ga2 Si6'
_symmetry_space_group_name_H-M 'P 1'
_symmetry_Int_Tables_number 1
_cell_length_a 4.0658
_cell_length_b 4.5995
_cell_length_c 11.7624
_cell_angle_alpha 101.27
_cell_angle_beta 90.00
_cell_angle_gamma 90.00
loop_
_symmetry_equiv_pos_as_xyz
'x,y,z'
loop_
_atom_site_label
_atom_site_fract_x
_atom_site_fract_y
_atom_site_fract_z
Si1 0.2500 0.3638 0.7277
Si2 0.7500 0.5283 0.0566
Si3 0.7500 0.6362 0.2723
Si4 0.2500 0.6927 0.3853
Si5 0.2500 0.4717 0.9434
Si6 0.7500 0.3073 0.6147
Ga1 0.2500 0.8006 0.6011
Ga2 0.7500 0.1994 0.3989
Ac1 0.7500 0.9179 0.8359
Ac2 0.2500 0.0821 0.1641
# Size of the total moment, μB per cell: 0.00
# Space-group type: Cmcm
# Fermi-level density of states, states/eV/atom: 0.455
# ΔE_f (raw), eV per atom: -0.192

***

Entry 3:
# Ac2Ga3Si2, optimized geometry, DFT GGA-PBE
data_Ac2Ga3Si2
_chemical_formula_sum 'Ac2 Ga3 Si2'
_symmetry_space_group_name_H-M 'P 1'
_symmetry_Int_Tables_number 1
_cell_length_a 4.3046
_cell_length_b 3.9082
_cell_length_c 10.7607
_cell_angle_alpha 100.46
_cell_angle_beta 90.00
_cell_angle_gamma 90.00
loop_
_symmetry_equiv_pos_as_xyz
'x,y,z'
loop_
_atom_site_label
_atom_site_fract_x
_atom_site_fract_y
_atom_site_fract_z
Si1 0.5000 0.7182 0.4363
Si2 0.5000 0.2818 0.5637
Ga1 0.5000 0.5611 0.1221
Ga2 0.5000 0.4389 0.8779
Ga3 0.0000 0.0000 0.0000
Ac1 0.0000 0.8410 0.6820
Ac2 0.0000 0.1590 0.3180
# Size of the total moment, μB per cell: 0.00
# Space-group type: Cmmm
# Fermi-level density of states, states/eV/atom: 0.528
# ΔE_f (raw), eV per atom: -0.333

***

Entry 4:
# Ac3GaSi3, optimized geometry, DFT GGA-PBE
data_Ac3GaSi3
_chemical_formula_sum 'Ac3 Ga1 Si3'
_symmetry_space_group_name_H-M 'P 1'
_symmetry_Int_Tables_number 1
_cell_length_a 4.1558
_cell_length_b 4.7411
_cell_length_c 10.0598
_cell_angle_alpha 103.63
_cell_angle_beta 101.92
_cell_angle_gamma 90.00
loop_
_symmetry_equiv_pos_as_xyz
'x,y,z'
loop_
_atom_site_label
_atom_site_fract_x
_atom_site_fract_y
_atom_site_fract_z
Ac1 0.0026 0.0026 0.0051
Ac2 0.3148 0.8148 0.6297
Ac3 0.6827 0.1827 0.3654
Si1 0.5659 0.5659 0.1318
Si2 0.1367 0.6367 0.2733
Si3 0.8617 0.3617 0.7234
Ga1 0.4357 0.4357 0.8714
# Size of the total moment, μB per cell: 0.35
# Space-group type: Imm2
# Fermi-level density of states, states/eV/atom: 0.707
# ΔE_f (raw), eV per atom: -0.594

***

Entry 5:
# Ac4GaSi2, optimized geometry, DFT GGA-PBE
data_Ac4GaSi2
_chemical_formula_sum 'Ac4 Ga1 Si2'
_symmetry_space_group_name_H-M 'P 1'
_symmetry_Int_Tables_number 1
_cell_length_a 5.1496
_cell_length_b 5.1496
_cell_length_c 10.8400
_cell_angle_alpha 76.26
_cell_angle_beta 76.26
_cell_angle_gamma 60.00
loop_
_symmetry_equiv_pos_as_xyz
'x,y,z'
loop_
_atom_site_label
_atom_site_fract_x
_atom_site_fract_y
_atom_site_fract_z
Ga1 0.0000 0.0000 0.0000
Ac1 0.6204 0.6204 0.1388
Ac2 0.3796 0.3796 0.8612
Ac3 0.7959 0.7959 0.6124
Ac4 0.2041 0.2041 0.3876
Si1 0.0960 0.0960 0.7121
Si2 0.9040 0.9040 0.2879
# Size of the total moment, μB per cell: 0.00
# Space-group type: R-3m
# Fermi-level density of states, states/eV/atom: 1.145
# ΔE_f (raw), eV per atom: -0.343

***

Entry 6:
# AcGaSi2, optimized geometry, DFT GGA-PBE
data_AcGaSi2
_chemical_formula_sum 'Ac1 Ga1 Si2'
_symmetry_space_group_name_H-M 'P 1'
_symmetry_Int_Tables_number 1
_cell_length_a 4.3365
_cell_length_b 5.0013
_cell_length_c 5.0013
_cell_angle_alpha 111.62
_cell_angle_beta 90.00
_cell_angle_gamma 90.00
loop_
_symmetry_equiv_pos_as_xyz
'x,y,z'
loop_
_atom_site_label
_atom_site_fract_x
_atom_site_fract_y
_atom_site_fract_z
Ga1 0.5000 0.5814 0.4186
Si1 0.5000 0.0936 0.4875
Si2 0.5000 0.5125 0.9064
Ac1 0.0000 0.0276 0.9724
# Offset from the most stable computed form, meV/atom: 0
# Size of the total moment, μB per cell: 0.00
# Space-group type: Amm2
# Fermi-level density of states, states/eV/atom: 0.453
# ΔE_f (raw), eV per atom: -0.210

***

Entry 7:
# Ac2GaSi3, optimized geometry, DFT GGA-PBE
data_Ac2GaSi3
_chemical_formula_sum 'Ac2 Ga1 Si3'
_symmetry_space_group_name_H-M 'P 1'
_symmetry_Int_Tables_number 1
_cell_length_a 4.6289
_cell_length_b 4.2341
_cell_length_c 7.3739
_cell_angle_alpha 90.00
_cell_angle_beta 90.00
_cell_angle_gamma 90.00
loop_
_symmetry_equiv_pos_as_xyz
'x,y,z'
loop_
_atom_site_label
_atom_site_fract_x
_atom_site_fract_y
_atom_site_fract_z
Ac1 0.0000 0.0000 0.5059
Ac2 0.0000 0.5000 0.9961
Ga1 0.5000 0.5000 0.3341
Si1 0.5000 0.5000 0.6715
Si2 0.5000 0.0000 0.8318
Si3 0.5000 0.0000 0.1605
# Size of the total moment, μB per cell: 0.00
# Space-group type: Pmm2
# Fermi-level density of states, states/eV/atom: 0.560
# ΔE_f (raw), eV per atom: -0.569

***

Entry 8:
# Ac3GaSi4, optimized geometry, DFT GGA-PBE
data_Ac3GaSi4
_chemical_formula_sum 'Ac3 Ga1 Si4'
_symmetry_space_group_name_H-M 'P 1'
_symmetry_Int_Tables_number 1
_cell_length_a 4.8133
_cell_length_b 5.8899
_cell_length_c 8.8233
_cell_angle_alpha 109.50
_cell_angle_beta 105.83
_cell_angle_gamma 90.00
loop_
_symmetry_equiv_pos_as_xyz
'x,y,z'
loop_
_atom_site_label
_atom_site_fract_x
_atom_site_fract_y
_atom_site_fract_z
Ac1 0.0000 0.5000 0.0000
Ac2 0.8121 0.8121 0.6243
Ac3 0.1879 0.1879 0.3757
Si1 0.6209 0.8204 0.2417
Si2 0.6209 0.4214 0.2417
Si3 0.3791 0.1796 0.7583
Si4 0.3791 0.5786 0.7583
Ga1 0.5000 0.0000 0.0000
# Size of the total moment, μB per cell: 0.00
# Space-group type: Immm
# Fermi-level density of states, states/eV/atom: 0.460
# ΔE_f (raw), eV per atom: -0.417

***

Entry 9:
# Ac3GaSi2, optimized geometry, DFT GGA-PBE
data_Ac3GaSi2
_chemical_formula_sum 'Ac12 Ga4 Si8'
_symmetry_space_group_name_H-M 'P 1'
_symmetry_Int_Tables_number 1
_cell_length_a 4.3908
_cell_length_b 12.9719
_cell_length_c 12.5537
_cell_angle_alpha 90.00
_cell_angle_beta 90.00
_cell_angle_gamma 90.00
loop_
_symmetry_equiv_pos_as_xyz
'x,y,z'
loop_
_atom_site_label
_atom_site_fract_x
_atom_site_fract_y
_atom_site_fract_z
Ac1 0.7500 0.2931 0.8053
Ac2 0.7500 0.5561 0.6191
Ac3 0.2500 0.0561 0.8809
Ac4 0.2500 0.7069 0.1947
Ac5 0.7500 0.8826 0.4315
Ac6 0.7500 0.9439 0.1191
Ac7 0.2500 0.4439 0.3809
Ac8 0.2500 0.7931 0.6947
Ac9 0.2500 0.3826 0.0685
Ac10 0.7500 0.2069 0.3053
Ac11 0.2500 0.1174 0.5685
Ac12 0.7500 0.6174 0.9315
Si1 0.7500 0.3145 0.5348
Si2 0.7500 0.1855 0.0348
Si3 0.2500 0.8145 0.9652
Si4 0.2500 0.6855 0.4652
Si5 0.7500 0.9789 0.6926
Si6 0.2500 0.0211 0.3074
Si7 0.2500 0.4789 0.8074
Si8 0.7500 0.5211 0.1926
Ga1 0.2500 0.3655 0.6334
Ga2 0.7500 0.6345 0.3666
Ga3 0.2500 0.1345 0.1334
Ga4 0.7500 0.8655 0.8666
# Offset from the most stable computed form, meV/atom: 0
# Size of the total moment, μB per cell: 0.01
# Space-group type: Pnma
# Fermi-level density of states, states/eV/atom: 0.737
# ΔE_f (raw), eV per atom: -0.516

***

Entry 10:
# Ac8GaSi2, optimized geometry, DFT GGA-PBE
data_Ac8GaSi2
_chemical_formula_sum 'Ac8 Ga1 Si2'
_symmetry_space_group_name_H-M 'P 1'
_symmetry_Int_Tables_number 1
_cell_length_a 5.2916
_cell_length_b 7.5696
_cell_length_c 10.5219
_cell_angle_alpha 101.85
_cell_angle_beta 104.56
_cell_angle_gamma 90.00
loop_
_symmetry_equiv_pos_as_xyz
'x,y,z'
loop_
_atom_site_label
_atom_site_fract_x
_atom_site_fract_y
_atom_site_fract_z
Si1 0.1863 0.7459 0.3726
Si2 0.8137 0.2541 0.6274
Ac1 0.0282 0.7776 0.0565
Ac2 0.2117 0.3375 0.4234
Ac3 0.6650 0.9859 0.3299
Ac4 0.5921 0.4645 0.1842
Ac5 0.3350 0.0141 0.6701
Ac6 0.4079 0.5355 0.8158
Ac7 0.7883 0.6625 0.5766
Ac8 0.9718 0.2224 0.9435
Ga1 0.5000 0.0000 0.0000
# Size of the total moment, μB per cell: 0.00
# Space-group type: C2/m
# Fermi-level density of states, states/eV/atom: 1.076
# ΔE_f (raw), eV per atom: -0.209

***

Entry 11:
# AcGa3Si, optimized geometry, DFT GGA-PBE
data_AcGa3Si
_chemical_formula_sum 'Ac2 Ga6 Si2'
_symmetry_space_group_name_H-M 'P 1'
_symmetry_Int_Tables_number 1
_cell_length_a 4.5780
_cell_length_b 4.3352
_cell_length_c 11.6092
_cell_angle_alpha 100.76
_cell_angle_beta 90.00
_cell_angle_gamma 90.00
loop_
_symmetry_equiv_pos_as_xyz
'x,y,z'
loop_
_atom_site_label
_atom_site_fract_x
_atom_site_fract_y
_atom_site_fract_z
Ac1 0.5000 0.8329 0.6658
Ac2 0.5000 0.1671 0.3342
Ga1 0.0000 0.9457 0.8914
Ga2 0.5000 0.5549 0.1098
Ga3 0.0000 0.7225 0.4450
Ga4 0.5000 0.4451 0.8902
Ga5 0.0000 0.2775 0.5550
Ga6 0.0000 0.0543 0.1086
Si1 0.0000 0.3855 0.7711
Si2 0.0000 0.6145 0.2289
# Size of the total moment, μB per cell: 0.00
# Space-group type: Cmmm
# Fermi-level density of states, states/eV/atom: 0.262
# ΔE_f (raw), eV per atom: -0.350

***

Entry 12:
# Ac3Ga3Si, optimized geometry, DFT GGA-PBE
data_Ac3Ga3Si
_chemical_formula_sum 'Ac3 Ga3 Si1'
_symmetry_space_group_name_H-M 'P 1'
_symmetry_Int_Tables_number 1
_cell_length_a 4.2953
_cell_length_b 4.7041
_cell_length_c 10.3056
_cell_angle_alpha 103.19
_cell_angle_beta 102.03
_cell_angle_gamma 90.00
loop_
_symmetry_equiv_pos_as_xyz
'x,y,z'
loop_
_atom_site_label
_atom_site_fract_x
_atom_site_fract_y
_atom_site_fract_z
Ac1 0.6839 0.1839 0.3677
Ac2 0.3178 0.8178 0.6356
Ac3 0.9978 0.9978 0.9956
Ga1 0.1366 0.6366 0.2732
Ga2 0.8633 0.3633 0.7266
Ga3 0.5640 0.5640 0.1280
Si1 0.4366 0.4366 0.8732
# Size of the total moment, μB per cell: 0.00
# Space-group type: Imm2
# Fermi-level density of states, states/eV/atom: 0.754
# ΔE_f (raw), eV per atom: -0.594